Compound: TlSbMo3
Source: the Alexandria database
Functional: meta-GGA SCAN
Structure: single point on PBEsol structure

V: 121.20 Å³/f.u.
ρ: 8.4 g/cm³
DOS(E_F): 5.54 states/eV per cell
ΔE_f (raw): 2.46 eV/atom

Geometry as CIF:
```
data_TlSbMo3
_cell_length_a 4.949
_cell_length_b 4.949
_cell_length_c 4.949
_cell_angle_alpha 90.00
_cell_angle_beta 90.00
_cell_angle_gamma 90.00
_space_group_name_H-M_alt 'P m -3 m'
_space_group_IT_number 221
_space_group_name_Hall '-P 4 2 3'
loop_
_atom_site_label
_atom_site_fract_x
_atom_site_fract_y
_atom_site_fract_z
_atom_site_occupancy
Tl1 0.000 0.000 0.000 1
Sb1 0.500 0.500 0.500 1
Mo1 0.000 0.000 0.500 1
```

=====

Compound: RbBaZnRh2
Source: the Alexandria database
Functional: meta-GGA SCAN
Structure: single point on PBEsol structure

V: 127.62 Å³/f.u.
ρ: 6.4 g/cm³
Energy relative to the elements: 0.52 eV/atom
DOS(E_F): 3.64 states/eV per cell

Geometry as CIF:
```
data_RbBaZnRh2
_cell_length_a 4.805
_cell_length_b 4.805
_cell_length_c 5.528
_cell_angle_alpha 90.00
_cell_angle_beta 90.00
_cell_angle_gamma 90.00
_space_group_name_H-M_alt 'P 4/m m m'
_space_group_IT_number 123
_space_group_name_Hall '-P 4 2'
loop_
_atom_site_label
_atom_site_fract_x
_atom_site_fract_y
_atom_site_fract_z
_atom_site_occupancy
Rb1 0.000 0.000 0.000 1
Ba1 0.500 0.500 0.000 1
Zn1 0.500 0.500 0.500 1
Rh1 0.000 0.500 0.500 1
```

=====

Compound: CaMgPt2
Source: the Alexandria database
Functional: meta-GGA SCAN
Structure: single point on PBEsol structure

V: 75.65 Å³/f.u.
ρ: 10.0 g/cm³
Energy relative to the elements: -0.57 eV/atom
DOS(E_F): 1.47 states/eV per cell

Geometry as CIF:
```
data_CaMgPt2
_cell_length_a 3.616
_cell_length_b 3.616
_cell_length_c 5.787
_cell_angle_alpha 90.00
_cell_angle_beta 90.00
_cell_angle_gamma 90.00
_space_group_name_H-M_alt 'P 4 m m'
_space_group_IT_number 99
_space_group_name_Hall 'P 4 -2'
loop_
_atom_site_label
_atom_site_fract_x
_atom_site_fract_y
_atom_site_fract_z
_atom_site_occupancy
Ca1 0.000 0.000 0.000 1
Mg1 0.500 0.500 0.341 1
Pt1 0.000 0.000 0.506 1
Pt2 0.500 0.500 0.796 1
```

=====

Compound: OsPdSeBr2
Source: the Alexandria database
Functional: meta-GGA SCAN
Structure: single point on PBEsol structure

V: 118.12 Å³/f.u.
ρ: 7.5 g/cm³
DOS(E_F): 3.77 states/eV per cell
ΔE_f (raw): 1.26 eV/atom

Geometry as CIF:
```
data_OsPdSeBr2
_cell_length_a 4.865
_cell_length_b 4.865
_cell_length_c 4.990
_cell_angle_alpha 90.00
_cell_angle_beta 90.00
_cell_angle_gamma 90.00
_space_group_name_H-M_alt 'P 4/m m m'
_space_group_IT_number 123
_space_group_name_Hall '-P 4 2'
loop_
_atom_site_label
_atom_site_fract_x
_atom_site_fract_y
_atom_site_fract_z
_atom_site_occupancy
Os1 0.000 0.000 0.000 1
Pd1 0.500 0.500 0.500 1
Se1 0.500 0.500 0.000 1
Br1 0.000 0.500 0.500 1
```

=====

Compound: Ba4Pr3BiO12
Source: the Alexandria database
Functional: meta-GGA SCAN
Structure: single point on PBEsol structure

V: 348.82 Å³/f.u.
ρ: 6.5 g/cm³
DOS(E_F): 6.36 states/eV per cell
ΔE_f (raw): -2.66 eV/atom

Geometry as CIF:
```
data_Ba4Pr3BiO12
_cell_length_a 6.254
_cell_length_b 6.289
_cell_length_c 8.869
_cell_angle_alpha 90.15
_cell_angle_beta 90.19
_cell_angle_gamma 90.05
_space_group_name_H-M_alt 'P -1'
_space_group_IT_number 2
_space_group_name_Hall '-P 1'
loop_
_atom_site_label
_atom_site_fract_x
_atom_site_fract_y
_atom_site_fract_z
_atom_site_occupancy
Ba1 0.006 0.031 0.243 1
Ba2 0.492 0.531 0.243 1
Pr1 0.000 0.500 0.500 1
Pr2 0.500 0.000 0.000 1
Pr3 0.500 0.000 0.500 1
Bi1 0.000 0.500 0.000 1
O1 0.079 0.520 0.765 1
O2 0.200 0.798 0.457 1
O3 0.213 0.762 0.042 1
O4 0.260 0.285 0.041 1
O5 0.298 0.299 0.452 1
O6 0.414 0.031 0.752 1
```

=====

Compound: Sr2MnAs
Source: the Alexandria database
Functional: meta-GGA SCAN
Structure: single point on PBEsol structure

V: 98.30 Å³/f.u.
ρ: 5.2 g/cm³
Energy relative to the elements: 0.09 eV/atom
DOS(E_F): 12.74 states/eV per cell

Geometry as CIF:
```
data_Sr2MnAs
_cell_length_a 7.326
_cell_length_b 7.326
_cell_length_c 7.326
_cell_angle_alpha 90.00
_cell_angle_beta 90.00
_cell_angle_gamma 90.00
_space_group_name_H-M_alt 'F -4 3 m'
_space_group_IT_number 216
_space_group_name_Hall 'F -4 2 3'
loop_
_atom_site_label
_atom_site_fract_x
_atom_site_fract_y
_atom_site_fract_z
_atom_site_occupancy
Sr1 0.000 0.000 0.000 1
Sr2 0.250 0.250 0.250 1
Mn1 0.000 0.000 0.500 1
As1 0.250 0.250 0.750 1
```

=====

Compound: YBePS2
Source: the Alexandria database
Functional: meta-GGA SCAN
Structure: single point on PBEsol structure

V: 135.31 Å³/f.u.
ρ: 2.4 g/cm³
DOS(E_F): 4.49 states/eV per cell
ΔE_f (raw): 0.47 eV/atom

Geometry as CIF:
```
data_YBePS2
_cell_length_a 5.073
_cell_length_b 5.073
_cell_length_c 5.258
_cell_angle_alpha 90.00
_cell_angle_beta 90.00
_cell_angle_gamma 90.00
_space_group_name_H-M_alt 'P 4/m m m'
_space_group_IT_number 123
_space_group_name_Hall '-P 4 2'
loop_
_atom_site_label
_atom_site_fract_x
_atom_site_fract_y
_atom_site_fract_z
_atom_site_occupancy
Y1 0.000 0.000 0.000 1
Be1 0.500 0.500 0.500 1
P1 0.000 0.000 0.500 1
S1 0.000 0.500 0.000 1
```

=====

Compound: CaRhW
Source: the Alexandria database
Functional: meta-GGA SCAN
Structure: single point on PBEsol structure

V: 52.35 Å³/f.u.
ρ: 10.4 g/cm³
Energy relative to the elements: 0.55 eV/atom
DOS(E_F): 2.53 states/eV per cell

Geometry as CIF:
```
data_CaRhW
_cell_length_a 4.5732
_cell_length_b 4.5732
_cell_length_c 2.8903
_cell_angle_alpha 90.00
_cell_angle_beta 90.00
_cell_angle_gamma 120.00
_space_group_name_H-M_alt 'P 3 m 1'
_space_group_IT_number 156
_space_group_name_Hall 'P 3 -2"'
loop_
_atom_site_label
_atom_site_fract_x
_atom_site_fract_y
_atom_site_fract_z
_atom_site_occupancy
Ca1 0.0000 0.0000 0.0000 1
Rh1 0.3333 0.6667 0.5910 1
W1 0.6667 0.3333 0.4148 1
```

=====

Compound: Zr2FeNi
Source: the Alexandria database
Functional: meta-GGA SCAN
Structure: single point on PBEsol structure

V: 63.30 Å³/f.u.
ρ: 7.8 g/cm³
ΔE to the lowest computed polymorph: 57 meV/atom
Energy relative to the elements: -0.24 eV/atom
DOS(E_F): 3.03 states/eV per cell

Geometry as CIF:
```
data_Zr2FeNi
_cell_length_a 3.218
_cell_length_b 4.138
_cell_length_c 5.013
_cell_angle_alpha 90.00
_cell_angle_beta 108.51
_cell_angle_gamma 90.00
_space_group_name_H-M_alt 'P 1 m 1'
_space_group_IT_number 6
_space_group_name_Hall 'P -2y'
loop_
_atom_site_label
_atom_site_fract_x
_atom_site_fract_y
_atom_site_fract_z
_atom_site_occupancy
Zr1 0.000 0.000 0.000 1
Zr2 0.282 0.500 0.566 1
Fe1 0.555 0.500 0.108 1
Ni1 0.720 0.000 0.443 1
```

=====

Compound: FeSeO4
Source: the Alexandria database
Functional: meta-GGA SCAN
Structure: single point on PBEsol structure

V: 64.35 Å³/f.u.
ρ: 5.1 g/cm³
DOS(E_F): 2.23 states/eV per cell
ΔE_f (raw): -1.00 eV/atom

Geometry as CIF:
```
data_FeSeO4
_cell_length_a 6.377
_cell_length_b 6.853
_cell_length_c 5.890
_cell_angle_alpha 90.00
_cell_angle_beta 90.00
_cell_angle_gamma 90.00
_space_group_name_H-M_alt 'C m c m'
_space_group_IT_number 63
_space_group_name_Hall '-C 2c 2'
loop_
_atom_site_label
_atom_site_fract_x
_atom_site_fract_y
_atom_site_fract_z
_atom_site_occupancy
Fe1 0.000 0.000 0.000 1
Se1 0.000 0.428 0.250 1
O1 0.000 0.276 0.018 1
O2 0.181 0.019 0.750 1
```

=====

Compound: Be2PdAu2
Source: the Alexandria database
Functional: meta-GGA SCAN
Structure: single point on PBEsol structure

V: 69.00 Å³/f.u.
ρ: 12.5 g/cm³
ΔE to the lowest computed polymorph: 242 meV/atom
Energy relative to the elements: -0.13 eV/atom
DOS(E_F): 1.82 states/eV per cell

Geometry as CIF:
```
data_Be2PdAu2
_cell_length_a 3.813
_cell_length_b 3.813
_cell_length_c 9.489
_cell_angle_alpha 90.00
_cell_angle_beta 90.00
_cell_angle_gamma 90.00
_space_group_name_H-M_alt 'I 4/m m m'
_space_group_IT_number 139
_space_group_name_Hall '-I 4 2'
loop_
_atom_site_label
_atom_site_fract_x
_atom_site_fract_y
_atom_site_fract_z
_atom_site_occupancy
Be1 0.000 0.000 0.108 1
Pd1 0.000 0.000 0.500 1
Au1 0.000 0.500 0.250 1
```

=====

Compound: Tc2TeSe
Source: the Alexandria database
Functional: meta-GGA SCAN
Structure: single point on PBEsol structure

V: 69.70 Å³/f.u.
ρ: 9.6 g/cm³
ΔE to the lowest computed polymorph: 0 meV/atom
DOS(E_F): 2.67 states/eV per cell
ΔE_f (raw): 0.05 eV/atom

Geometry as CIF:
```
data_Tc2TeSe
_cell_length_a 3.150
_cell_length_b 4.614
_cell_length_c 4.796
_cell_angle_alpha 90.00
_cell_angle_beta 90.00
_cell_angle_gamma 90.00
_space_group_name_H-M_alt 'P m m 2'
_space_group_IT_number 25
_space_group_name_Hall 'P 2 -2'
loop_
_atom_site_label
_atom_site_fract_x
_atom_site_fract_y
_atom_site_fract_z
_atom_site_occupancy
Tc1 0.000 0.000 0.000 1
Tc2 0.500 0.500 0.167 1
Te1 0.000 0.500 0.718 1
Se1 0.500 0.000 0.379 1
```